Material: BaMgF2
Method: DFT, PBEsol
State: relaxed

DFT total energy ... -4.193 eV per atom
Spin magnetization ... 2.72 μB per cell

a b c (Å): 3.5063 3.5063 21.5045
angles (deg): 90.00 90.00 120.00
Space group R-3m (No. 166, hexagonal axes)
One atom of each set of equivalent atoms:
Ba: 0.0000 0.0000 0.0000 [3 per cell]
Mg: 0.0000 0.0000 0.5000 [3 per cell]
F: 0.0000 0.0000 0.1294 [6 per cell]

Material: Ba2Mg3F10
Method: DFT, PBEsol
State: relaxed

DFT total energy ... -5.602 eV per atom
Spin magnetization ... 0.32 μB per cell

a b c (Å): 18.463 5.939 7.785
angles (deg): 90.00 111.90 90.00
Space group C2/m (No. 12)
One atom of each set of equivalent atoms:
Ba: 0.114 0.000 0.219 [4 per cell]
Ba: 0.217 0.000 0.815 [4 per cell]
Mg: 0.000 0.245 0.500 [4 per cell]
Mg: 0.074 0.500 0.955 [4 per cell]
Mg: 0.177 0.500 0.515 [4 per cell]
F: 0.000 0.279 0.000 [4 per cell]
F: 0.016 0.000 0.682 [4 per cell]
F: 0.022 0.500 0.682 [4 per cell]
F: 0.111 0.245 0.526 [8 per cell]
F: 0.134 0.500 0.243 [4 per cell]
F: 0.149 0.261 0.975 [8 per cell]
F: 0.237 0.500 0.780 [4 per cell]
F: 0.250 0.250 0.500 [4 per cell]

Material: BaMgNiF7
Method: DFT, PBEsol
State: relaxed

DFT total energy ... -5.230 eV per atom
Spin magnetization ... 4.00 μB per cell

a b c (Å): 5.556 9.707 9.332
angles (deg): 90.00 93.66 90.00
Space group P2_1/c (No. 14)
One atom of each set of equivalent atoms:
Ba: 0.233 0.184 0.494 [4 per cell]
Mg: 0.194 0.598 0.313 [4 per cell]
Ni: 0.306 0.618 0.690 [4 per cell]
F: 0.021 0.722 0.761 [4 per cell]
F: 0.125 0.541 0.121 [4 per cell]
F: 0.138 0.039 0.135 [4 per cell]
F: 0.235 0.690 0.512 [4 per cell]
F: 0.381 0.549 0.863 [4 per cell]
F: 0.383 0.059 0.878 [4 per cell]
F: 0.470 0.721 0.251 [4 per cell]

Material: BaMg2OsF
Method: DFT, PBEsol
State: relaxed

DFT total energy ... -3.882 eV per atom
Spin magnetization ... 0.20 μB per cell

a b c (Å): 5.067 5.067 4.645
angles (deg): 90.00 90.00 90.00
Space group P4/mmm (No. 123)
One atom of each set of equivalent atoms:
Ba: 0.000 0.000 0.000 [1 per cell]
Mg: 0.000 0.500 0.500 [2 per cell]
Os: 0.500 0.500 0.500 [1 per cell]
F: 0.500 0.500 0.000 [1 per cell]

Material: BaMgSbF7
Method: DFT, PBEsol
State: relaxed

DFT total energy ... -5.352 eV per atom
Spin magnetization ... 0.00 μB per cell

a b c (Å): 5.594 10.711 9.785
angles (deg): 90.00 95.03 90.00
Space group P2_1/c (No. 14)
One atom of each set of equivalent atoms:
Ba: 0.241 0.155 0.034 [4 per cell]
Mg: 0.207 0.647 0.795 [4 per cell]
Sb: 0.287 0.580 0.143 [4 per cell]
F: 0.020 0.698 0.231 [4 per cell]
F: 0.088 0.119 0.610 [4 per cell]
F: 0.117 0.564 0.624 [4 per cell]
F: 0.344 0.720 0.971 [4 per cell]
F: 0.359 0.012 0.369 [4 per cell]
F: 0.373 0.521 0.343 [4 per cell]
F: 0.476 0.738 0.226 [4 per cell]

Material: BaMgVF7
Method: DFT, PBEsol
State: relaxed

DFT total energy ... -6.075 eV per atom
Spin magnetization ... 8.00 μB per cell

a b c (Å): 5.543 9.826 9.547
angles (deg): 90.00 92.95 90.00
Space group P2_1/c (No. 14)
One atom of each set of equivalent atoms:
Ba: 0.236 0.180 0.000 [4 per cell]
Mg: 0.194 0.605 0.811 [4 per cell]
V: 0.307 0.613 0.188 [4 per cell]
F: 0.024 0.713 0.251 [4 per cell]
F: 0.113 0.541 0.626 [4 per cell]
F: 0.131 0.050 0.630 [4 per cell]
F: 0.242 0.691 0.002 [4 per cell]
F: 0.385 0.052 0.375 [4 per cell]
F: 0.388 0.544 0.368 [4 per cell]
F: 0.476 0.719 0.748 [4 per cell]

What is the spin magnetization in the sixth record?
8.00 μB per cell

Which of these has the lowest DFT total energy?
BaMgVF7

Which value of spin magnetization does entry 5 give?
0.00 μB per cell

Which value of spin magnetization does entry 5 give?
0.00 μB per cell